Computed, not measured: a geometry-optimized RbTh4Ag3Te12 structure at the PBE level of DFT.

Geometry as CIF:
```
data_RbTh4Ag3Te12
_chemical_formula_sum 'Rb2 Th8 Ag6 Te24'
_cell_length_a 11.4332
_cell_length_b 11.4332
_cell_length_c 11.4332
_cell_angle_alpha 90.00
_cell_angle_beta 90.00
_cell_angle_gamma 90.00
_symmetry_space_group_name_H-M 'I m -3'
_symmetry_Int_Tables_number 204
_symmetry_space_group_name_Hall '-I 2 2 3'
loop_
_atom_site_label
_atom_site_fract_x
_atom_site_fract_y
_atom_site_fract_z
Rb1 0.0000 0.0000 0.0000
Th1 0.2500 0.2500 0.2500
Ag1 0.0000 0.0000 0.5000
Te1 0.0000 0.1650 0.3185
```

DFT total energy: -4.50 eV/atom